# 1
HfMg2Pd2, relaxed, DFT PBE; size of the total moment = 0.00 μB/atom; distance to the lowest polymorph of the same formula = 0 meV per atom; formation enthalpy at 0 K = -258 kJ/mol of formula units
1.0
-2.404 -0.540 2.014
-1.542 -1.727 -2.304
3.516 -8.710 1.862
Pd Hf Mg
2 1 2
Direct
0.500 0.588 0.825
0.500 0.412 0.175
0.000 0.000 0.000
0.000 0.823 0.353
0.000 0.177 0.647


# 2
SmGdLuTl, relaxed, DFT PBE; size of the total moment = 2.09 μB/atom; formation enthalpy at 0 K = -30 kJ/mol of formula units
1.0
-0.675 -5.157 -1.745
1.563 -1.408 -5.067
4.364 -3.245 -0.722
Tl Lu Sm Gd
1 1 1 1
Direct
0.250 0.250 0.250
0.750 0.750 0.750
0.000 0.000 0.000
0.500 0.500 0.500


# 3
CaBO3, relaxed, DFT PBE; size of the total moment = 0.60 μB/atom; E_form (uncorrected) = 3.0 eV/f.u.
1.0
-2.614 2.668 -2.238
-3.157 -0.634 2.932
1.470 3.382 2.315
B O Ca
1 3 1
Direct
0.500 0.500 0.500
0.000 0.000 0.500
0.000 0.500 0.000
0.500 0.000 0.000
0.000 0.000 0.000


# 4
MgTe2PN, relaxed, DFT PBE; size of the total moment = 0.35 μB/atom; distance to the lowest polymorph of the same formula = 668 meV per atom; E_form (uncorrected) = 4.8 eV/f.u.
1.0
-4.927 1.752 -1.732
-0.541 -4.548 -3.060
-1.694 -1.809 2.988
N P Te Mg
1 1 2 1
Direct
0.000 0.000 0.500
0.500 0.500 0.500
0.000 0.500 0.000
0.500 0.000 0.000
0.000 0.000 0.000